Model w:
## K2Cd (SCAN)

Data for K2Cd at its PBEsol-relaxed geometry.

* spin magnetization: 0.0 Bohr magnetons per cell

Cell lengths 4.0913, 4.0913, 17.0603 Å; angles 96.89, 96.89, 90.00 degrees
With the nearest neighbours (Å) after each atom.
Fractional positions:
K1 0.5655 0.5655 0.1309  4 Cd 3.64
K2 0.8155 0.3155 0.6309  4 Cd 3.64
K3 0.6845 0.1845 0.3691  4 Cd 3.64
K4 0.4345 0.4345 0.8691  4 Cd 3.64
Cd1 0.0000 0.0000 0.0000  8 K 3.64
Cd2 0.2500 0.7500 0.5000  8 K 3.64

=====

Model x:
## K2Cd (SCAN)

Data for K2Cd at its PBEsol-relaxed geometry.

* spin magnetization: 0.0 Bohr magnetons per cell

Cell lengths 5.9429, 5.9429, 5.9429 Å; angles 60.00, 60.00, 60.00 degrees
With the nearest neighbours (Å) after each atom.
Fractional positions:
K1 0.7500 0.7500 0.7500  4 Cd 3.64
K2 0.2500 0.2500 0.2500  4 Cd 3.64
Cd1 0.0000 0.0000 0.0000  8 K 3.64

=====

Short version: model w is the most stable of them.

=====

Model w:
## KLaCd3 (SCAN)

Data for KLaCd3 at its PBEsol-relaxed geometry.

* spin magnetization: 1.4 Bohr magnetons per cell

Cell lengths 6.0519, 6.0519, 6.0519 Å; angles 90.00, 90.00, 90.00 degrees
With the nearest neighbours (Å) after each atom.
Fractional positions:
K1 0.5000 0.5000 0.5000  12 Cd 4.28
La1 0.0000 0.0000 0.0000  6 Cd 3.03
Cd1 0.5000 0.0000 0.0000  2 La 3.03
Cd2 0.0000 0.5000 0.0000  2 La 3.03
Cd3 0.0000 0.0000 0.5000  2 La 3.03

=====

Model x:
## KLaCd3 (SCAN)

Data for KLaCd3 at its PBEsol-relaxed geometry.

* spin magnetization: 0.0 Bohr magnetons per cell

Cell lengths 5.4785, 5.4785, 5.4785 Å; angles 90.00, 90.00, 90.00 degrees
With the nearest neighbours (Å) after each atom.
Fractional positions:
La1 0.5000 0.5000 0.5000  12 Cd 3.87
Cd1 0.0000 0.0000 0.5000  2 K 2.74
Cd2 0.5000 0.0000 0.0000  2 K 2.74
Cd3 0.0000 0.5000 0.0000  2 K 2.74
K1 0.0000 0.0000 0.0000  6 Cd 2.74

=====

Short version: model w is the most stable of them.

=====

Model w:
## K2MgCd (SCAN)

Data for K2MgCd at its PBEsol-relaxed geometry.

* spin magnetization: 0.0 Bohr magnetons per cell

Cell lengths 3.9515, 3.9515, 10.2308 Å; angles 90.00, 90.00, 90.00 degrees
With the nearest neighbours (Å) after each atom.
Fractional positions:
Mg1 0.0000 0.0000 0.5787  4 Cd 2.98
K1 0.5000 0.5000 0.3148  1 Cd 3.74, 4 Mg 3.89, 4 K 3.95
K2 0.0000 0.0000 0.9260  1 Mg 3.55, 4 Cd 3.76, 4 K 3.95
Cd1 0.5000 0.5000 0.6806  4 Mg 2.98

=====

Model x:
## K2MgCd (SCAN)

Data for K2MgCd at its PBEsol-relaxed geometry.

* spin magnetization: 0.0 Bohr magnetons per cell

Cell lengths 3.8452, 3.8452, 12.1821 Å; angles 80.92, 80.92, 60.00 degrees
With the nearest neighbours (Å) after each atom.
Fractional positions:
K1 0.2537 0.2537 0.2390  3 Cd 3.62, 3 Mg 3.83, 6 K 3.85
K2 0.7463 0.7463 0.7610  3 Cd 3.62, 3 Mg 3.83, 6 K 3.85
Mg1 0.5000 0.5000 0.5000  6 K 3.83, 6 Mg 3.85
Cd1 0.0000 0.0000 0.0000  6 K 3.62, 6 Cd 3.85

=====

Model y:
## K2MgCd (SCAN)

Data for K2MgCd at its PBEsol-relaxed geometry.

* spin magnetization: 0.0 Bohr magnetons per cell

Cell lengths 4.6485, 5.2011, 7.1869 Å; angles 90.00, 108.87, 90.00 degrees
With the nearest neighbours (Å) after each atom.
Fractional positions:
K1 0.4040 0.5000 0.8080  3 Cd 3.64-4.00, 4 Mg 3.79
K2 0.0921 0.0000 0.1843  3 Mg 3.62-4.03, 4 Cd 3.77
Cd1 0.6979 0.5000 0.3959  2 Mg 2.92
Mg1 0.7959 0.0000 0.5917  2 Cd 2.92

=====

Short version: model w is the most stable of them.

=====

Model w:
## KMg2Cd2 (SCAN)

Data for KMg2Cd2 at its PBEsol-relaxed geometry.

* spin magnetization: 0.0 Bohr magnetons per cell

Cell lengths 3.0460, 9.1034, 9.1034 Å; angles 90.00, 90.00, 90.00 degrees
With the nearest neighbours (Å) after each atom.
Fractional positions:
Cd1 0.0000 0.1568 0.3432  2 Cd 3.05, 6 Mg 3.06-3.09
Cd2 0.0000 0.8432 0.6568  2 Cd 3.05, 6 Mg 3.06-3.09
Cd3 0.0000 0.3432 0.8432  2 Cd 3.05, 6 Mg 3.06-3.09
Cd4 0.0000 0.6568 0.1568  2 Cd 3.05, 6 Mg 3.06-3.09
Mg1 0.5000 0.6345 0.8655  2 Mg 3.05, 6 Cd 3.06-3.09
Mg2 0.5000 0.8655 0.3655  2 Mg 3.05, 6 Cd 3.06-3.09
Mg3 0.5000 0.3655 0.1345  2 Mg 3.05, 6 Cd 3.06-3.09
Mg4 0.5000 0.1345 0.6345  2 Mg 3.05, 6 Cd 3.06-3.09
K1 0.0000 0.0000 0.0000  2 K 3.05
K2 0.0000 0.5000 0.5000  2 K 3.05

=====

Model x:
## KMg2Cd2 (SCAN)

Data for KMg2Cd2 at its PBEsol-relaxed geometry.

* spin magnetization: 0.0 Bohr magnetons per cell

Cell lengths 4.7326, 4.7326, 7.1835 Å; angles 109.23, 109.23, 90.00 degrees
With the nearest neighbours (Å) after each atom.
Fractional positions:
Mg1 0.2500 0.7500 0.5000  4 Cd 2.95
Mg2 0.7500 0.2500 0.5000  4 Cd 2.95
Cd1 0.3884 0.3884 0.7768  1 Cd 2.84, 4 Mg 2.95
Cd2 0.6116 0.6116 0.2232  1 Cd 2.84, 4 Mg 2.95
K1 0.0000 0.0000 0.0000  8 Cd 3.63, 8 Mg 3.96

=====

Short version: model w is the most stable of them.